Material: RbZr3F
Method: DFT, PBE-GGA
State: relaxed

Cell and atoms, written as POSCAR:
```
RbZr3F
1.0
-1.777 0.371 -4.501
4.372 -1.072 -1.815
-1.133 -4.719 0.058
Rb Zr F
1 3 1
Direct
0.500 0.500 0.500
0.000 0.500 0.000
0.000 0.000 0.500
0.500 0.000 0.000
0.000 0.000 0.000
```

Values from the calculation:
E_form (uncorrected) = 242 meV per atom
Uncorrected energy = -5.4547 eV/atom
Magnetization = 0.0 μB/f.u.
Relative energy among the computed polymorphs = 0 meV per atom